Entry from the Alexandria database: crystalline AcNpC2 at its relaxed geometry (GGA-PBE).

a = 3.6461 Å, b = 3.6461 Å, c = 18.3565 Å
α = 90.00°, β = 90.00°, γ = 120.00°
Fractional coordinates of all 12 atoms:
Ac 0.0000 0.0000 0.0000
Ac 0.3333 0.6667 0.6667
Ac 0.6667 0.3333 0.3333
Np 0.0000 0.0000 0.5000
Np 0.3333 0.6667 0.1667
Np 0.6667 0.3333 0.8333
C 0.0000 0.0000 0.2221
C 0.0000 0.0000 0.7779
C 0.3333 0.6667 0.4445
C 0.3333 0.6667 0.8888
C 0.6667 0.3333 0.1112
C 0.6667 0.3333 0.5555

Summary:
E = -103.75 eV per cell
ΔH_f (0 K) = 0.23 eV per atom
Density of states at the Fermi level = 13.1 states/eV/cell
Spin magnetization = 1.646 Bohr magnetons per cell

Entry from the Alexandria database: crystalline AcNpC at its relaxed geometry (GGA-PBE).

a = 3.3031 Å, b = 3.3031 Å, c = 12.3516 Å
α = 90.00°, β = 90.00°, γ = 90.00°
Fractional coordinates of all 6 atoms:
Ac 0.0000 0.0000 0.0000
Ac 0.5000 0.5000 0.5000
Np 0.0000 0.0000 0.2430
Np 0.5000 0.5000 0.7430
C 0.0000 0.0000 0.6732
C 0.5000 0.5000 0.1732

Summary:
E = -48.64 eV per cell
ΔH_f (0 K) = 0.65 eV per atom
Density of states at the Fermi level = 12.7 states/eV/cell
Spin magnetization = 7.231 Bohr magnetons per cell

Entry from the Alexandria database: crystalline AcCO4 at its relaxed geometry (GGA-PBE).

a = 9.2963 Å, b = 9.2963 Å, c = 5.2391 Å
α = 90.00°, β = 90.00°, γ = 155.57°
Fractional coordinates of all 12 atoms:
Ac 0.0611 0.9389 0.7500
Ac 0.9389 0.0611 0.2500
C 0.3365 0.6635 0.7500
C 0.6635 0.3365 0.2500
O 0.0745 0.9255 0.2500
O 0.3280 0.6720 0.5257
O 0.3280 0.6720 0.9743
O 0.5000 0.5000 0.0000
O 0.5000 0.5000 0.5000
O 0.6720 0.3280 0.0257
O 0.6720 0.3280 0.4743
O 0.9255 0.0745 0.7500

Summary:
E = -86.96 eV per cell
Density of states at the Fermi level = 1.3 states/eV/cell
ΔE to the lowest computed polymorph = 329.5 meV/atom
Formation energy from raw total energies = -1719 meV/atom
Spin magnetization = 2.005 Bohr magnetons per cell

Entry from the Alexandria database: crystalline AcCO2 at its relaxed geometry (GGA-PBE).

a = 3.4631 Å, b = 3.4631 Å, c = 19.0096 Å
α = 90.00°, β = 90.00°, γ = 120.00°
Fractional coordinates of all 12 atoms:
Ac 0.0000 0.0000 0.0000
Ac 0.3333 0.6667 0.6667
Ac 0.6667 0.3333 0.3333
C 0.0000 0.0000 0.5000
C 0.3333 0.6667 0.1667
C 0.6667 0.3333 0.8333
O 0.0000 0.0000 0.1164
O 0.0000 0.0000 0.8836
O 0.3333 0.6667 0.5503
O 0.3333 0.6667 0.7831
O 0.6667 0.3333 0.2169
O 0.6667 0.3333 0.4497

Summary:
E = -59.54 eV per cell
Density of states at the Fermi level = 9.1 states/eV/cell
Formation energy from raw total energies = 851 meV/atom
Spin magnetization = 0.000 Bohr magnetons per cell

Among the records above, which one has the highest spin magnetization? AcNpC

density of states at the Fermi level of number 1 (AcNpC2)? 13.1 states/eV/cell

Number 3 is which compound? AcCO4